DFT (PBE-GGA) results for crystalline Sm3Te3Au at its relaxed geometry.

It has space group R-3 (No. 148, hexagonal axes), with a = 9.1812 Å, b = 9.1812 Å, c = 18.6104 Å, α = 90.00°, β = 90.00° and γ = 120.00°. The asymmetric unit holds Sm at (0.0096, 0.3813, 0.0798), Te at (0.0035, 0.2831, 0.9129) and Au at (0.0000, 0.0000, 0.3426).

The total energy comes out at -4.9928 eV/atom. The value obtained for the magnetic moment is 0.000 μB/cell.